[1]
# TbCe2Zn4 | Alexandria via LeMat-Bulk | PBE | relaxed
# Calculated total energy in eV for the cell shown: -87.706
# Total magnetization in μB per cell: 0.00
data_TbCe2Zn4
_symmetry_space_group_name_H-M 'F m m m'
_symmetry_Int_Tables_number 69
_symmetry_space_group_name_Hall '-F 2 2'
_cell_length_a 5.8769
_cell_length_b 5.8900
_cell_length_c 18.2540
_cell_angle_alpha 90.00
_cell_angle_beta 90.00
_cell_angle_gamma 90.00
loop_
_atom_site_label
_atom_site_fract_x
_atom_site_fract_y
_atom_site_fract_z
_atom_site_occupancy
Tb1 0.0000 0.0000 0.0000 1
Ce1 0.0000 0.0000 0.2579 1
Zn1 0.2500 0.2500 0.1192 1

=====

[2]
# LiPm2CdSe4 | Alexandria via LeMat-Bulk | PBE | relaxed
# Calculated total energy in eV for the cell shown: -37.313
# Total magnetization in μB per cell: 0.00
# Formation energy (no corrections) in eV per atom: -1.38
data_LiPm2CdSe4
_symmetry_space_group_name_H-M 'P 1 2/m 1'
_symmetry_Int_Tables_number 10
_cell_length_a 7.1567
_cell_length_b 4.1446
_cell_length_c 7.3258
_cell_angle_alpha 90.00
_cell_angle_beta 108.71
_cell_angle_gamma 90.00
loop_
_symmetry_equiv_pos_as_xyz
'x,y,z'
'-x,-y,-z'
'-x,y,-z'
'x,-y,z'
loop_
_atom_site_label
_atom_site_fract_x
_atom_site_fract_y
_atom_site_fract_z
_atom_site_occupancy
Li1 0.0000 0.0000 0.0000 1
Pm1 0.0000 0.5000 0.5000 1
Pm2 0.5000 0.0000 0.5000 1
Cd1 0.5000 0.5000 0.0000 1
Se1 0.2489 0.0000 0.7514 1
Se2 0.2504 0.5000 0.2468 1

=====

- Which value of calculated total energy does entry 1 give?
  -87.706 eV for the cell shown